#P
! PmPrAsBr (PBE, relaxed); values from VASP
! Total moment, μB per cell: 0.0
! DOS(E_F), states/eV/f.u.: 2.82
! Mass density, Mg/m³: 7.27
&SYSTEM
  ibrav = 0, nat = 4, ntyp = 4
/
ATOMIC_SPECIES
As 74.92 As.upf
Pr 140.91 Pr.upf
Br 79.90 Br.upf
Pm 145.00 Pm.upf
CELL_PARAMETERS angstrom
5.222 0.000 0.000
2.611 4.523 0.000
2.611 1.508 4.264
ATOMIC_POSITIONS crystal
As 0.500 0.500 0.500
Pr 0.750 0.750 0.750
Br 0.000 0.000 0.000
Pm 0.250 0.250 0.250


#Q
! PmPrAsBr (PBE, relaxed); values from VASP
! Total moment, μB per cell: 0.0
! DOS(E_F), states/eV/f.u.: 1.20
! Mass density, Mg/m³: 6.39
&SYSTEM
  ibrav = 0, nat = 4, ntyp = 4
/
ATOMIC_SPECIES
Br 79.90 Br.upf
As 74.92 As.upf
Pr 140.91 Pr.upf
Pm 145.00 Pm.upf
CELL_PARAMETERS angstrom
-3.238 2.572 -0.661
0.965 -2.927 -2.838
-2.744 -5.614 4.859
ATOMIC_POSITIONS crystal
Br 0.964 0.380 0.360
As 0.309 0.552 0.876
Pr 0.495 0.145 0.656
Pm 0.110 0.953 0.078


Which of them is least stable? Easy: #P.


#P
! As2PtBr (PBE, relaxed); values from VASP
! Total moment, μB per cell: 0.0
! DOS(E_F), states/eV/f.u.: 1.06
! Mass density, Mg/m³: 8.16
&SYSTEM
  ibrav = 0, nat = 4, ntyp = 3
/
ATOMIC_SPECIES
Pt 195.08 Pt.upf
Br 79.90 Br.upf
As 74.92 As.upf
CELL_PARAMETERS angstrom
-1.991 -1.960 2.972
3.811 -2.919 0.628
3.269 1.550 3.212
ATOMIC_POSITIONS crystal
Pt 0.500 0.750 0.750
Br 0.500 0.250 0.250
As 0.000 0.931 0.931
As 0.000 0.569 0.569


#Q
! As2PtBr (PBE, relaxed); values from VASP
! Total moment, μB per cell: 0.0
! DOS(E_F), states/eV/f.u.: 1.89
! Mass density, Mg/m³: 6.35
&SYSTEM
  ibrav = 0, nat = 8, ntyp = 3
/
ATOMIC_SPECIES
Pt 195.08 Pt.upf
Br 79.90 Br.upf
As 74.92 As.upf
CELL_PARAMETERS angstrom
6.471 0.000 0.000
0.000 6.471 0.000
3.236 3.236 5.302
ATOMIC_POSITIONS crystal
Pt 0.000 0.000 0.000
Br 0.500 0.500 0.000
As 0.053 0.625 0.250
Pt 0.750 0.250 0.500
As 0.697 0.125 0.250
As 0.875 0.947 0.750
As 0.375 0.303 0.750
Br 0.250 0.750 0.500


Which of them is least stable? Easy: #Q.


#P
! AsPtBr2 (PBE, relaxed); values from VASP
! Total moment, μB per cell: 0.0
! DOS(E_F), states/eV/f.u.: 3.05
! Mass density, Mg/m³: 7.04
&SYSTEM
  ibrav = 0, nat = 4, ntyp = 3
/
ATOMIC_SPECIES
Pt 195.08 Pt.upf
Br 79.90 Br.upf
As 74.92 As.upf
CELL_PARAMETERS angstrom
-5.448 -3.174 6.057
-6.063 -5.440 3.176
-3.184 -6.057 5.443
ATOMIC_POSITIONS crystal
Pt 0.500 0.500 0.500
Br 0.897 0.897 0.897
Br 0.103 0.103 0.103
As 0.000 0.000 0.000


#Q
! AsPtBr2 (PBE, relaxed); values from VASP
! Total moment, μB per cell: 0.0
! DOS(E_F), states/eV/f.u.: 2.58
! Mass density, Mg/m³: 7.20
&SYSTEM
  ibrav = 0, nat = 4, ntyp = 3
/
ATOMIC_SPECIES
Br 79.90 Br.upf
Pt 195.08 Pt.upf
As 74.92 As.upf
CELL_PARAMETERS angstrom
-1.968 1.664 -1.898
-2.155 0.147 2.363
3.975 8.249 3.112
ATOMIC_POSITIONS crystal
Br 0.000 0.000 0.944
Br 0.500 0.500 0.338
Pt 0.000 0.000 0.541
As 0.500 0.500 0.678


Which of them is least stable? Easy: #P.